Record 1
{"formula": "Zr2FeAg", "functional": "PBE", "state": "optimized geometry", "e_form_mev_per_atom": 42, "e_tot_ev_per_cell": -28.24, "sg": "Pm (6)", "lattice": [[-4.085, -1.346, -0.338], [-0.185, -0.264, 3.290], [-1.753, 4.803, 2.054]], "species": ["Zr", "Zr", "Ag", "Fe"], "fractional_positions": [[0.500, 0.295, 0.301], [0.000, 0.975, 0.913], [0.000, 0.708, 0.468], [0.500, 0.522, 0.818]]}


Record 2
{"formula": "ZrFe2Ag", "functional": "PBE", "state": "optimized geometry", "e_form_mev_per_atom": 196, "e_tot_ev_per_cell": -27.54, "sg": "I4/mmm (139)", "lattice": [[4.844, -0.163, -0.024], [3.323, 3.528, -0.024], [1.679, 0.692, 3.545]], "species": ["Ag", "Fe", "Fe", "Zr"], "fractional_positions": [[0.250, 0.250, 0.250], [0.000, 0.000, 0.000], [0.500, 0.500, 0.500], [0.750, 0.750, 0.750]]}


Record 3
{"formula": "ZrFeAg2", "functional": "PBE", "state": "optimized geometry", "e_form_mev_per_atom": 247, "e_tot_ev_per_cell": -21.73, "sg": "R3m (160)", "lattice": [[9.474, -0.028, -0.017], [9.013, 2.921, -0.017], [9.013, 1.410, 2.558]], "species": ["Zr", "Ag", "Ag", "Fe"], "fractional_positions": [[0.755, 0.755, 0.755], [0.246, 0.246, 0.246], [0.998, 0.998, 0.998], [0.502, 0.502, 0.502]]}


Record 4
{"formula": "ZrFeAg2", "functional": "PBE", "state": "optimized geometry", "e_form_mev_per_atom": 203, "e_tot_ev_per_cell": -21.90, "sg": "I-4m2 (119)", "lattice": [[-3.149, 3.208, -2.136], [-4.251, -0.138, 2.585], [4.697, 0.611, 1.529]], "species": ["Fe", "Zr", "Ag", "Ag"], "fractional_positions": [[0.500, 0.500, 0.000], [0.750, 0.250, 0.500], [0.250, 0.750, 0.500], [0.000, 0.000, 0.000]]}